Entry 1:
# KRb2MoCl6 PBE-GGA relaxed
data_KRb2MoCl6
_chemical_formula_sum 'K2 Rb4 Mo2 Cl12'
_cell_length_a 7.346
_cell_length_b 7.346
_cell_length_c 15.411
_cell_angle_alpha 76.21
_cell_angle_beta 76.21
_cell_angle_gamma 60.00
_symmetry_space_group_name_H-M 'P 1'
_symmetry_Int_Tables_number 1
loop_
_symmetry_equiv_pos_as_xyz
'x,y,z'
loop_
_atom_site_label
_atom_site_fract_x
_atom_site_fract_y
_atom_site_fract_z
_atom_site_occupancy
Cl1 0.374 0.848 0.403 1
Cl2 0.626 0.152 0.597 1
Cl3 0.848 0.374 0.403 1
Cl4 0.810 0.810 0.097 1
Cl5 0.718 0.190 0.903 1
Cl6 0.810 0.282 0.097 1
Cl7 0.282 0.810 0.097 1
Cl8 0.190 0.718 0.903 1
Cl9 0.152 0.626 0.597 1
Cl10 0.190 0.190 0.903 1
Cl11 0.626 0.626 0.597 1
Cl12 0.374 0.374 0.403 1
Mo1 0.000 0.000 0.000 1
Mo2 0.500 0.500 0.500 1
Rb1 0.142 0.142 0.574 1
Rb2 0.858 0.858 0.426 1
Rb3 0.691 0.691 0.926 1
Rb4 0.309 0.309 0.074 1
K1 0.414 0.414 0.758 1
K2 0.586 0.586 0.242 1
# Symmetry = R-3m
# E_form (uncorrected) = -148.3 kJ per mole of atoms
# V = 692 Å³/cell

Entry 2:
# PbW PBE-GGA relaxed
data_PbW
_chemical_formula_sum 'Pb8 W8'
_cell_length_a 7.070
_cell_length_b 6.319
_cell_length_c 7.993
_cell_angle_alpha 90.00
_cell_angle_beta 90.00
_cell_angle_gamma 90.00
_symmetry_space_group_name_H-M 'P 1'
_symmetry_Int_Tables_number 1
loop_
_symmetry_equiv_pos_as_xyz
'x,y,z'
loop_
_atom_site_label
_atom_site_fract_x
_atom_site_fract_y
_atom_site_fract_z
_atom_site_occupancy
Pb1 0.593 0.159 0.506 1
Pb2 0.907 0.841 0.006 1
Pb3 0.171 0.892 0.324 1
Pb4 0.829 0.392 0.176 1
Pb5 0.407 0.659 0.994 1
Pb6 0.329 0.108 0.824 1
Pb7 0.093 0.341 0.494 1
Pb8 0.671 0.608 0.676 1
W1 0.249 0.704 0.655 1
W2 0.946 0.943 0.649 1
W3 0.446 0.557 0.351 1
W4 0.751 0.204 0.845 1
W5 0.749 0.796 0.345 1
W6 0.554 0.057 0.149 1
W7 0.251 0.296 0.155 1
W8 0.054 0.443 0.851 1
# Symmetry = P2_12_12_1
# ΔE_f = 1.9 eV/f.u.
# V = 357 Å³/cell

Question: Number 1 is which compound?
Answer: KRb2MoCl6

Question: What is the V in the first record?
Answer: 692 Å³/cell

Question: Look up the V of the second one.
Answer: 357 Å³/cell

Question: Which value of V does entry 1 give?
Answer: 692 Å³/cell